A plane-wave DFT calculation with PBE+U was carried out for NbCoMoO6 after structural relaxation.

Unit cell a=4.690 b=4.690 c=8.925 alpha=90.00 beta=90.00 gamma=90.00
Space group P4_2nm (No. 102)
Unique sites:
Nb1 0.000 0.000 0.000 x2
Co1 0.000 0.000 0.348 x2
Mo1 0.000 0.000 0.688 x2
O1 0.194 0.194 0.511 x4
O2 0.201 0.201 0.187 x4
O3 0.218 0.218 0.852 x4

Results
E   -7.50 eV/atom
V   196 Å³/cell